P) The following is a PBE-GGA calculation of a relaxed TaNi3H crystal, from Alexandria.

Cell lengths 5.278, 5.278, 5.460 Å; angles 121.05, 121.05, 59.59 degrees
Positions (direct):
1 Ta 0.247 0.247 0.208
2 Ta 0.753 0.753 0.792
3 Ni 0.248 0.746 0.744
4 Ni 0.251 0.251 0.748
5 Ni 0.254 0.752 0.256
6 Ni 0.746 0.248 0.744
7 Ni 0.749 0.749 0.252
8 Ni 0.752 0.254 0.256
9 H 0.000 0.500 0.500
10 H 0.500 0.000 0.500

**Magnetization**: 0.00 μB/f.u.

---

Q) The following is a PBE-GGA calculation of a relaxed TaNi3H crystal, from Alexandria.

Cell lengths 3.744, 3.744, 3.744 Å; angles 90.00, 90.00, 90.00 degrees
Positions (direct):
1 Ta 0.000 0.000 0.000
2 Ni 0.000 0.500 0.500
3 Ni 0.500 0.000 0.500
4 Ni 0.500 0.500 0.000
5 H 0.500 0.500 0.500

**Magnetization**: 1.76 μB/f.u.

---

Most stable = P)

---

P) The following is a PBE-GGA calculation of a relaxed TaTi2NiH crystal, from Alexandria.

Cell lengths 3.955, 3.955, 4.128 Å; angles 90.00, 90.00, 90.00 degrees
Positions (direct):
1 Ta 0.000 0.000 0.000
2 Ti 0.000 0.500 0.500
3 Ti 0.500 0.000 0.500
4 Ni 0.500 0.500 0.000
5 H 0.000 0.000 0.500

**Magnetization**: 0.00 μB/f.u.

---

Q) The following is a PBE-GGA calculation of a relaxed TaTi2NiH crystal, from Alexandria.

Cell lengths 4.312, 4.312, 3.425 Å; angles 90.00, 90.00, 90.00 degrees
Positions (direct):
1 Ta 0.000 0.000 0.000
2 Ti 0.000 0.500 0.500
3 Ti 0.500 0.000 0.500
4 Ni 0.500 0.500 0.000
5 H 0.500 0.500 0.500

**Magnetization**: 0.00 μB/f.u.

---

Most stable = Q)

---

P) The following is a PBE-GGA calculation of a relaxed TaVNi2H crystal, from Alexandria.

Cell lengths 3.705, 3.705, 3.958 Å; angles 90.00, 90.00, 90.00 degrees
Positions (direct):
1 Ta 0.000 0.000 0.000
2 V 0.500 0.500 0.000
3 Ni 0.000 0.500 0.500
4 Ni 0.500 0.000 0.500
5 H 0.500 0.500 0.500

**Magnetization**: 0.00 μB/f.u.

---

Q) The following is a PBE-GGA calculation of a relaxed TaVNi2H crystal, from Alexandria.

Cell lengths 3.683, 3.683, 4.051 Å; angles 90.00, 90.00, 90.00 degrees
Positions (direct):
1 Ta 0.000 0.000 0.000
2 V 0.500 0.500 0.000
3 Ni 0.000 0.500 0.500
4 Ni 0.500 0.000 0.500
5 H 0.000 0.000 0.500

**Magnetization**: 0.00 μB/f.u.

---

Most stable = P)

---

P) The following is a PBE-GGA calculation of a relaxed Ta2NiHW crystal, from Alexandria.

Cell lengths 4.388, 4.388, 3.405 Å; angles 90.00, 90.00, 90.00 degrees
Positions (direct):
1 Ta 0.000 0.500 0.000
2 Ta 0.500 0.000 0.000
3 Ni 0.000 0.000 0.500
4 H 0.000 0.000 0.000
5 W 0.500 0.500 0.500

**Magnetization**: 0.00 μB/f.u.

---

Q) The following is a PBE-GGA calculation of a relaxed Ta2NiHW crystal, from Alexandria.

Cell lengths 4.234, 4.234, 3.711 Å; angles 90.00, 90.00, 90.00 degrees
Positions (direct):
1 Ta 0.000 0.500 0.000
2 Ta 0.500 0.000 0.000
3 Ni 0.000 0.000 0.500
4 H 0.500 0.500 0.000
5 W 0.500 0.500 0.500

**Magnetization**: 0.00 μB/f.u.

---

Most stable = P)

---

P) The following is a PBE-GGA calculation of a relaxed Tb2NiH crystal, from Alexandria.

Cell lengths 3.242, 3.242, 6.877 Å; angles 90.00, 90.00, 90.00 degrees
Positions (direct):
1 Tb 0.000 0.000 0.249
2 Tb 0.000 0.000 0.751
3 Ni 0.500 0.500 0.500
4 H 0.500 0.500 0.000

**Magnetization**: 0.00 μB/f.u.

---

Q) The following is a PBE-GGA calculation of a relaxed Tb2NiH crystal, from Alexandria.

Cell lengths 6.383, 6.383, 6.383 Å; angles 34.94, 34.94, 34.94 degrees
Positions (direct):
1 Tb 0.245 0.245 0.245
2 Tb 0.755 0.755 0.755
3 Ni 0.000 0.000 0.000
4 H 0.500 0.500 0.500

**Magnetization**: 0.00 μB/f.u.

---

R) The following is a PBE-GGA calculation of a relaxed Tb2NiH crystal, from Alexandria.

Cell lengths 3.649, 3.649, 7.012 Å; angles 105.26, 105.26, 59.90 degrees
Positions (direct):
1 Tb 0.000 0.000 0.000
2 Tb 0.165 0.165 0.495
3 Ni 0.582 0.582 0.747
4 H 0.750 0.750 0.249

**Magnetization**: 0.00 μB/f.u.

---

Most stable = Q)

---

P) The following is a PBE-GGA calculation of a relaxed TcNi2H crystal, from Alexandria.

Cell lengths 7.201, 7.201, 7.201 Å; angles 20.74, 20.74, 20.74 degrees
Positions (direct):
1 Tc 0.000 0.000 0.000
2 Ni 0.115 0.115 0.115
3 Ni 0.885 0.885 0.885
4 H 0.500 0.500 0.500

**Magnetization**: 0.00 μB/f.u.

---

Q) The following is a PBE-GGA calculation of a relaxed TcNi2H crystal, from Alexandria.

Cell lengths 3.970, 3.970, 3.970 Å; angles 60.00, 60.00, 60.00 degrees
Positions (direct):
1 Tc 0.000 0.000 0.000
2 Ni 0.250 0.250 0.250
3 Ni 0.750 0.750 0.750
4 H 0.500 0.500 0.500

**Magnetization**: 0.00 μB/f.u.

---

Most stable = P)

---

P) The following is a PBE-GGA calculation of a relaxed TcNi2H crystal, from Alexandria.

Cell lengths 4.784, 4.784, 4.784 Å; angles 116.58, 116.58, 96.03 degrees
Positions (direct):
1 Tc 0.000 0.000 0.000
2 Tc 0.750 0.250 0.500
3 Ni 0.289 0.625 0.164
4 Ni 0.375 0.539 0.664
5 Ni 0.461 0.125 0.836
6 Ni 0.875 0.711 0.336
7 H 0.250 0.750 0.500
8 H 0.500 0.500 0.000

**Magnetization**: 0.00 μB/f.u.

---

Q) The following is a PBE-GGA calculation of a relaxed TcNi2H crystal, from Alexandria.

Cell lengths 6.527, 6.527, 6.527 Å; angles 23.43, 23.43, 23.43 degrees
Positions (direct):
1 Tc 0.000 0.000 0.000
2 Ni 0.223 0.223 0.223
3 Ni 0.443 0.443 0.443
4 H 0.834 0.834 0.834

**Magnetization**: 0.00 μB/f.u.

---

Most stable = Q)

---

P) The following is a PBE-GGA calculation of a relaxed Tc2NiH crystal, from Alexandria.

Cell lengths 7.282, 7.282, 7.282 Å; angles 21.82, 21.82, 21.82 degrees
Positions (direct):
1 Tc 0.116 0.116 0.116
2 Tc 0.884 0.884 0.884
3 Ni 0.000 0.000 0.000
4 H 0.500 0.500 0.500

**Magnetization**: 0.00 μB/f.u.

---

Q) The following is a PBE-GGA calculation of a relaxed Tc2NiH crystal, from Alexandria.

Cell lengths 4.866, 4.866, 4.866 Å; angles 105.96, 105.96, 116.74 degrees
Positions (direct):
1 Tc 0.039 0.625 0.914
2 Tc 0.375 0.289 0.414
3 Tc 0.711 0.125 0.086
4 Tc 0.875 0.961 0.586
5 Ni 0.250 0.750 0.500
6 Ni 0.500 0.500 0.000
7 H 0.000 0.000 0.000
8 H 0.750 0.250 0.500

**Magnetization**: 0.00 μB/f.u.

---

Most stable = Q)

---

P) The following is a PBE-GGA calculation of a relaxed TiTc2NiH crystal, from Alexandria.

Cell lengths 3.829, 3.829, 3.970 Å; angles 90.00, 90.00, 90.00 degrees
Positions (direct):
1 Ti 0.000 0.000 0.000
2 Tc 0.000 0.500 0.500
3 Tc 0.500 0.000 0.500
4 Ni 0.500 0.500 0.000
5 H 0.000 0.000 0.500

**Magnetization**: 0.00 μB/f.u.

---

Q) The following is a PBE-GGA calculation of a relaxed TiTc2NiH crystal, from Alexandria.

Cell lengths 3.979, 3.979, 3.633 Å; angles 90.00, 90.00, 90.00 degrees
Positions (direct):
1 Ti 0.000 0.000 0.000
2 Tc 0.000 0.500 0.500
3 Tc 0.500 0.000 0.500
4 Ni 0.500 0.500 0.000
5 H 0.500 0.500 0.500

**Magnetization**: 0.00 μB/f.u.

---

Most stable = Q)

---

P) The following is a PBE-GGA calculation of a relaxed Ti2TcNiH crystal, from Alexandria.

Cell lengths 4.151, 4.151, 3.517 Å; angles 90.00, 90.00, 90.00 degrees
Positions (direct):
1 Ti 0.000 0.500 0.000
2 Ti 0.500 0.000 0.000
3 Tc 0.000 0.000 0.500
4 Ni 0.500 0.500 0.500
5 H 0.000 0.000 0.000

**Magnetization**: 0.00 μB/f.u.

---

Q) The following is a PBE-GGA calculation of a relaxed Ti2TcNiH crystal, from Alexandria.

Cell lengths 4.248, 4.248, 3.279 Å; angles 90.00, 90.00, 90.00 degrees
Positions (direct):
1 Ti 0.000 0.500 0.000
2 Ti 0.500 0.000 0.000
3 Tc 0.000 0.000 0.500
4 Ni 0.500 0.500 0.500
5 H 0.500 0.500 0.000

**Magnetization**: 0.00 μB/f.u.

---

Most stable = Q)

---

P) The following is a PBE-GGA calculation of a relaxed VTc2NiH crystal, from Alexandria.

Cell lengths 3.959, 3.959, 3.523 Å; angles 90.00, 90.00, 90.00 degrees
Positions (direct):
1 V 0.000 0.000 0.000
2 Tc 0.000 0.500 0.500
3 Tc 0.500 0.000 0.500
4 Ni 0.500 0.500 0.000
5 H 0.500 0.500 0.500

**Magnetization**: 0.00 μB/f.u.

---

Q) The following is a PBE-GGA calculation of a relaxed VTc2NiH crystal, from Alexandria.

Cell lengths 3.844, 3.844, 3.762 Å; angles 90.00, 90.00, 90.00 degrees
Positions (direct):
1 V 0.000 0.000 0.000
2 Tc 0.000 0.500 0.500
3 Tc 0.500 0.000 0.500
4 Ni 0.500 0.500 0.000
5 H 0.000 0.000 0.500

**Magnetization**: 0.00 μB/f.u.

---

Most stable = P)

---

P) The following is a PBE-GGA calculation of a relaxed TcNi2HW crystal, from Alexandria.

Cell lengths 3.697, 3.697, 3.961 Å; angles 90.00, 90.00, 90.00 degrees
Positions (direct):
1 Tc 0.000 0.000 0.000
2 Ni 0.000 0.500 0.500
3 Ni 0.500 0.000 0.500
4 H 0.000 0.000 0.500
5 W 0.500 0.500 0.000

**Magnetization**: 0.00 μB/f.u.

---

Q) The following is a PBE-GGA calculation of a relaxed TcNi2HW crystal, from Alexandria.

Cell lengths 3.679, 3.679, 4.026 Å; angles 90.00, 90.00, 90.00 degrees
Positions (direct):
1 Tc 0.000 0.000 0.000
2 Ni 0.000 0.500 0.500
3 Ni 0.500 0.000 0.500
4 H 0.500 0.500 0.500
5 W 0.500 0.500 0.000

**Magnetization**: 0.00 μB/f.u.

---

Most stable = P)